Record 1
VASP calculation (PBE) on NaNpHgTe3 after structural relaxation.

Cell: 4.3961 8.4874 10.4174 Å, 104.24 90.00 90.00°
Positions (direct):
Na (0.7500, 0.7846, 0.7311)
Na (0.2500, 0.2154, 0.2689)
Np (0.7500, 0.3323, 0.8290)
Hg (0.2500, 0.1161, 0.5613)
Te (0.7500, 0.9174, 0.1608)
Te (0.7500, 0.4078, 0.1347)
Np (0.2500, 0.6677, 0.1710)
Te (0.2500, 0.0826, 0.8392)
Te (0.7500, 0.3489, 0.5308)
Te (0.2500, 0.5922, 0.8653)
Te (0.2500, 0.6511, 0.4692)
Hg (0.7500, 0.8839, 0.4387)

Output
The symmetry is P2_1/m, No. 11. The total energy is -4.5149 eV/atom.

***

Record 2
VASP calculation (PBE) on Ca2LaP2 after structural relaxation.

Cell: 8.0156 8.0156 3.9704 Å, 90.00 90.00 90.00°
Positions (direct):
La (0.0000, 0.0000, 0.0000)
Ca (0.3597, 0.1403, 0.5000)
Ca (0.6403, 0.8597, 0.5000)
Ca (0.1403, 0.6403, 0.5000)
Ca (0.8597, 0.3597, 0.5000)
P (0.1656, 0.3344, 0.0000)
La (0.5000, 0.5000, 0.0000)
P (0.3344, 0.8344, 0.0000)
P (0.8344, 0.6656, 0.0000)
P (0.6656, 0.1656, 0.0000)

Output
The symmetry is P4/mbm, No. 127. The total energy is -4.9676 eV/atom.